Density functional theory data (PBE) for Tm6InTc2 after structural relaxation.

Cell: 8.4279 8.4279 8.4279 Å, 112.57 112.12 103.87°
With the nearest neighbours (Å) after each atom.
Sites, in units of the cell vectors:
1 Tm 0.0402 0.2455 0.7947  1 Tc 2.79
2 Tm 0.1874 0.2808 0.4682  3 Tc 2.93-2.96, 1 In 3.16
3 Tm 0.1874 0.7192 0.9066  3 Tc 2.93-2.96, 1 In 3.16
4 Tm 0.3335 0.0187 0.6853  3 Tc 2.86-2.95
5 Tm 0.3335 0.6482 0.3147  3 Tc 2.86-2.95
6 Tm 0.4508 0.2455 0.2053  1 Tc 2.79
7 Tm 0.5492 0.7545 0.7947  1 Tc 2.79
8 Tm 0.6665 0.3518 0.6853  3 Tc 2.86-2.95
9 Tm 0.6665 0.9813 0.3147  3 Tc 2.86-2.95
10 Tm 0.8126 0.2808 0.0934  3 Tc 2.93-2.96, 1 In 3.16
11 Tm 0.8126 0.7192 0.5318  3 Tc 2.93-2.96, 1 In 3.16
12 Tm 0.9598 0.7545 0.2053  1 Tc 2.79
13 In 0.0000 0.0000 0.0000  2 Tc 3.06, 8 Tm 3.16-3.20
14 In 0.5000 0.5000 0.0000  12 Tm 3.28-3.59
15 Tc 0.1148 0.6148 0.5000  1 Tc 2.39
16 Tc 0.3248 0.0000 0.3248  8 Tm 2.79-2.95, 1 In 3.06
17 Tc 0.6752 0.0000 0.6752  8 Tm 2.79-2.95, 1 In 3.06
18 Tc 0.8852 0.3852 0.5000  1 Tc 2.39

Formation energy from the elements: -2.02 eV/f.u.
Raw total energy: -104.6 eV per cell